Here is crystalline K2NiAs at its relaxed geometry from the Alexandria database. Energies are from PBEsol.

Properties
Its formation energy is -161 meV/atom. Its space group is Imm2, No. 44. The value obtained for the density of states at the Fermi level is 1.71 states/eV per cell. Its raw total energy is -3.543 eV per atom.

Structure (extended XYZ):
```
4
Lattice="-2.3656 3.3683 -1.2431 -2.0329 -3.0554 -4.4102 -1.4224 -1.6914 5.5595" Properties=species:S:1:pos:R:3 pbc="T T T"
Ni -3.0613 -0.2089 -2.1762
As -2.0414 -1.9621 -1.4317
K -5.5287 -1.2546 -0.3144
K -3.2098 0.8251 0.9080
```